No. 1
8
Lattice="-2.915 2.969 4.313 -4.359 1.360 -3.881 -6.527 -2.841 1.708" Properties=species:S:1:pos:R:3 comment="PBE-GGA Li2ICl, optimized geometry" formation_energy_uncorrected_ev_per_atom=-1.504 dft_energy_ev_per_atom=-3.31 polymorph_energy_mev_per_atom=0.0 crystal_system=tetragonal pbc="T T T"
Li -4.875 0.669 -1.231
Li -7.855 -0.435 1.237
Li -11.028 1.585 1.865
Li -3.843 1.158 2.408
I -6.539 1.146 3.119
I 0.000 0.000 0.000
Cl -3.637 2.165 0.216
Cl -7.261 0.342 -0.979

***

No. 2
4
Lattice="8.231 -0.033 -0.020 7.520 3.346 -0.020 7.520 1.582 2.949" Properties=species:S:1:pos:R:3 comment="PBE-GGA MnZn2Br, optimized geometry" formation_energy_uncorrected_ev_per_atom=0.086 dft_energy_ev_per_atom=-3.26 polymorph_energy_mev_per_atom=40.5 crystal_system=trigonal pbc="T T T"
Zn 0.079 0.017 0.010
Zn 6.241 1.313 0.780
Mn 17.345 3.648 2.169
Br 11.244 2.365 1.406

***

No. 3
8
Lattice="4.848 0.000 0.000 0.000 5.827 -2.554 0.000 0.290 6.356" Properties=species:S:1:pos:R:3 comment="PBE-GGA ErMgCd6, optimized geometry" dft_energy_ev_per_atom=-1.62 polymorph_energy_mev_per_atom=0.0 crystal_system=orthorhombic formation_enthalpy_0k_ev_per_atom=-0.160 pbc="T T T"
Cd 0.000 0.457 2.175
Cd 2.424 2.605 -0.299
Cd 2.424 5.231 1.333
Cd 2.424 5.452 -1.950
Cd 0.000 3.417 1.325
Cd 0.000 3.965 4.355
Mg 2.424 2.360 3.025
Er 0.000 0.980 5.245